(1)
This record from Alexandria describes a geometry-optimized KRe structure. The functional is PBE.

ΔE_f in eV per atom: 1.2292
Magnetization in μB/atom: 0.00
Density of states at the Fermi level in states/eV/atom: 0.673
E above lowest polymorph in meV per atom: 398.6

The structure in CIF format:
```
data_KRe
_cell_length_a 6.012
_cell_length_b 12.405
_cell_length_c 3.513
_cell_angle_alpha 90.00
_cell_angle_beta 90.00
_cell_angle_gamma 90.00
_symmetry_space_group_name_H-M 'C m c m'
_symmetry_Int_Tables_number 63
_symmetry_space_group_name_Hall '-C 2c 2'
loop_
_atom_site_label
_atom_site_type_symbol
_atom_site_fract_x
_atom_site_fract_y
_atom_site_fract_z
K1 K 0.000 0.138 0.250
Re1 Re 0.000 0.440 0.250
```

(2)
This record from Alexandria describes a geometry-optimized Ba6TlI5 structure. The functional is PBE.

Magnetization in μB/atom: 0.00
Uncorrected formation energy in eV/atom: -1.20
Density of states at the Fermi level in states/eV/atom: 0.404

The structure in CIF format:
```
data_Ba6TlI5
_cell_length_a 8.842
_cell_length_b 15.118
_cell_length_c 8.689
_cell_angle_alpha 90.00
_cell_angle_beta 109.13
_cell_angle_gamma 90.00
_symmetry_space_group_name_H-M 'C 1 2/m 1'
_symmetry_Int_Tables_number 12
loop_
_symmetry_equiv_pos_as_xyz
'x,y,z'
'-x,-y,-z'
'-x,y,-z'
'x,-y,z'
'x+1/2,y+1/2,z'
'-x+1/2,-y+1/2,-z'
'-x+1/2,y+1/2,-z'
'x+1/2,-y+1/2,z'
loop_
_atom_site_label
_atom_site_type_symbol
_atom_site_fract_x
_atom_site_fract_y
_atom_site_fract_z
Ba1 Ba 0.232 0.000 0.255
Ba2 Ba 0.236 0.158 0.736
Tl1 Tl 0.000 0.000 0.500
I1 I 0.000 0.176 0.000
I2 I 0.000 0.336 0.500
I3 I 0.000 0.500 0.000
```

(3)
This record from Alexandria describes a geometry-optimized TaIn2Te structure. The functional is PBE.

Magnetization in μB/atom: 0.40
Uncorrected formation energy in eV/atom: 0.59
Density of states at the Fermi level in states/eV/atom: 0.950
E above lowest polymorph in meV per atom: 509.1

The structure in CIF format:
```
data_TaIn2Te
_cell_length_a 7.218
_cell_length_b 7.218
_cell_length_c 7.218
_cell_angle_alpha 90.00
_cell_angle_beta 90.00
_cell_angle_gamma 90.00
_symmetry_space_group_name_H-M 'F -4 3 m'
_symmetry_Int_Tables_number 216
_symmetry_space_group_name_Hall 'F -4 2 3'
loop_
_atom_site_label
_atom_site_type_symbol
_atom_site_fract_x
_atom_site_fract_y
_atom_site_fract_z
Ta1 Ta 0.000 0.000 0.000
In1 In 0.000 0.000 0.500
In2 In 0.250 0.250 0.250
Te1 Te 0.250 0.250 0.750
```

(4)
This record from Alexandria describes a geometry-optimized HgMoAs2 structure. The functional is PBE.

ΔE_f in eV per atom: 0.4759
Magnetization in μB/atom: 0.34
Density of states at the Fermi level in states/eV/atom: 0.715

The structure in CIF format:
```
data_HgMoAs2
_cell_length_a 3.953
_cell_length_b 3.633
_cell_length_c 5.658
_cell_angle_alpha 90.00
_cell_angle_beta 90.19
_cell_angle_gamma 90.00
_symmetry_space_group_name_H-M 'P 1 2/m 1'
_symmetry_Int_Tables_number 10
loop_
_symmetry_equiv_pos_as_xyz
'x,y,z'
'-x,-y,-z'
'-x,y,-z'
'x,-y,z'
loop_
_atom_site_label
_atom_site_type_symbol
_atom_site_fract_x
_atom_site_fract_y
_atom_site_fract_z
Hg1 Hg 0.000 0.000 0.000
Mo1 Mo 0.500 0.500 0.500
As1 As 0.000 0.000 0.500
As2 As 0.500 0.500 0.000
```

(5)
This record from Alexandria describes a geometry-optimized AgH4 structure. The functional is PBE.

Raw total energy in eV per atom: -2.38
Magnetization in μB/atom: 0.18
Density of states at the Fermi level in states/eV/atom: 0.166

The structure in CIF format:
```
data_AgH4
_cell_length_a 3.536
_cell_length_b 3.536
_cell_length_c 3.536
_cell_angle_alpha 90.00
_cell_angle_beta 90.00
_cell_angle_gamma 90.00
_symmetry_space_group_name_H-M 'P m -3 m'
_symmetry_Int_Tables_number 221
_symmetry_space_group_name_Hall '-P 4 2 3'
loop_
_atom_site_label
_atom_site_type_symbol
_atom_site_fract_x
_atom_site_fract_y
_atom_site_fract_z
Ag1 Ag 0.000 0.000 0.000
H1 H 0.000 0.000 0.500
H2 H 0.500 0.500 0.500
```

(6)
This record from Alexandria describes a geometry-optimized TmSc4S5 structure. The functional is PBE.

Magnetization in μB/atom: 0.00
Uncorrected formation energy in eV/atom: -1.88
Density of states at the Fermi level in states/eV/atom: 0.525

The structure in CIF format:
```
data_TmSc4S5
_cell_length_a 3.724
_cell_length_b 5.263
_cell_length_c 18.636
_cell_angle_alpha 90.00
_cell_angle_beta 90.00
_cell_angle_gamma 90.00
_symmetry_space_group_name_H-M 'I m m m'
_symmetry_Int_Tables_number 71
_symmetry_space_group_name_Hall '-I 2 2'
loop_
_atom_site_label
_atom_site_type_symbol
_atom_site_fract_x
_atom_site_fract_y
_atom_site_fract_z
Tm1 Tm 0.000 0.000 0.000
Sc1 Sc 0.000 0.000 0.202
Sc2 Sc 0.000 0.000 0.399
S1 S 0.000 0.500 0.000
S2 S 0.000 0.500 0.200
S3 S 0.000 0.500 0.396
```

(7)
This record from Alexandria describes a geometry-optimized EuDy2Hf structure. The functional is PBE.

ΔE_f in eV per atom: 0.1279
Magnetization in μB/atom: 1.92
Density of states at the Fermi level in states/eV/atom: 1.505

The structure in CIF format:
```
data_EuDy2Hf
_cell_length_a 3.450
_cell_length_b 3.450
_cell_length_c 10.237
_cell_angle_alpha 90.00
_cell_angle_beta 90.00
_cell_angle_gamma 90.00
_symmetry_space_group_name_H-M 'P 4/m m m'
_symmetry_Int_Tables_number 123
_symmetry_space_group_name_Hall '-P 4 2'
loop_
_atom_site_label
_atom_site_type_symbol
_atom_site_fract_x
_atom_site_fract_y
_atom_site_fract_z
Eu1 Eu 0.000 0.000 0.000
Dy1 Dy 0.500 0.500 0.285
Hf1 Hf 0.000 0.000 0.500
```

(8)
This record from Alexandria describes a geometry-optimized MnSn3B structure. The functional is PBE.

ΔE_f in eV per atom: 1.2103
Magnetization in μB/atom: 0.04
Density of states at the Fermi level in states/eV/atom: 1.162
E above lowest polymorph in meV per atom: 197.1

The structure in CIF format:
```
data_MnSn3B
_cell_length_a 4.823
_cell_length_b 4.823
_cell_length_c 4.823
_cell_angle_alpha 90.00
_cell_angle_beta 90.00
_cell_angle_gamma 90.00
_symmetry_space_group_name_H-M 'P m -3 m'
_symmetry_Int_Tables_number 221
_symmetry_space_group_name_Hall '-P 4 2 3'
loop_
_atom_site_label
_atom_site_type_symbol
_atom_site_fract_x
_atom_site_fract_y
_atom_site_fract_z
Mn1 Mn 0.000 0.000 0.000
Sn1 Sn 0.000 0.500 0.500
B1 B 0.500 0.500 0.500
```

Q: Which value of density of states at the Fermi level does entry 5 give?
A: 0.166 states/eV/atom